DFT (PBE-GGA) results for a relaxed structure of CeYHoPu.

```
data_CeYHoPu
_chemical_formula_sum 'Ce4 Y4 Ho4 Pu4'
_space_group_name_H-M_alt 'F -4 3 m'
_space_group_IT_number 216
_space_group_name_Hall 'F -4 2 3'
_cell_length_a 7.8918
_cell_length_b 7.8918
_cell_length_c 7.8918
_cell_angle_alpha 90.00
_cell_angle_beta 90.00
_cell_angle_gamma 90.00
loop_
_atom_site_label
_atom_site_type_symbol
_atom_site_fract_x
_atom_site_fract_y
_atom_site_fract_z
_atom_site_occupancy
Ce1 Ce 0.0000 0.0000 0.0000 1
Y1 Y 0.2500 0.2500 0.2500 1
Ho1 Ho 0.2500 0.2500 0.7500 1
Pu1 Pu 0.0000 0.0000 0.5000 1
```

## Properties
The value obtained for the energy relative to the elements is 271 meV per atom. The calculation puts the volume at 491 Å³/cell. Its density of states at the Fermi level is 4.204 states/eV/atom.

DFT (PBE-GGA) results for a relaxed structure of CeHoPuZr.

```
data_CeHoPuZr
_chemical_formula_sum 'Ce4 Ho4 Pu4 Zr4'
_space_group_name_H-M_alt 'F -4 3 m'
_space_group_IT_number 216
_space_group_name_Hall 'F -4 2 3'
_cell_length_a 7.5502
_cell_length_b 7.5502
_cell_length_c 7.5502
_cell_angle_alpha 90.00
_cell_angle_beta 90.00
_cell_angle_gamma 90.00
loop_
_atom_site_label
_atom_site_type_symbol
_atom_site_fract_x
_atom_site_fract_y
_atom_site_fract_z
_atom_site_occupancy
Ce1 Ce 0.0000 0.0000 0.0000 1
Ho1 Ho 0.2500 0.2500 0.2500 1
Pu1 Pu 0.2500 0.2500 0.7500 1
Zr1 Zr 0.0000 0.0000 0.5000 1
```

## Properties
The value obtained for the energy relative to the elements is 200 meV per atom. The calculation puts the volume at 430 Å³/cell. Its density of states at the Fermi level is 2.587 states/eV/atom.